Tb3Pm2Dy6Ho: relaxed, PBE.

Calculated values
As for the formation energy: 0.015 eV per atom. Its total DFT energy (no corrections) is -110.8 eV for the cell shown. Its volume is 31.929 Å³ per atom.

The structure in CIF format:
```
data_Tb3Pm2Dy6Ho
_cell_length_a 6.172
_cell_length_b 10.682
_cell_length_c 11.801
_cell_angle_alpha 90.00
_cell_angle_beta 99.98
_cell_angle_gamma 90.00
_space_group_name_H-M_alt 'C 1 2/m 1'
_space_group_IT_number 12
loop_
_space_group_symop_operation_xyz
'x,y,z'
'-x,-y,-z'
'-x,y,-z'
'x,-y,z'
'x+1/2,y+1/2,z'
'-x+1/2,-y+1/2,-z'
'-x+1/2,y+1/2,-z'
'x+1/2,-y+1/2,z'
loop_
_atom_site_label
_atom_site_fract_x
_atom_site_fract_y
_atom_site_fract_z
Tb1 0.000 0.000 0.000
Tb2 0.000 0.333 0.000
Pm1 0.000 0.167 0.500
Dy1 0.248 0.500 0.248
Dy2 0.249 0.166 0.249
Ho1 0.000 0.500 0.500
```

TeINF2: relaxed, PBE.

Calculated values
Its formation energy without anion corrections is -0.0658 eV per atom. Its total DFT energy (no corrections) is -17.1 eV for the cell shown. The excess energy over the best structure of this formula in the dataset is 0.000 eV per atom. Its volume is 17.451 Å³ per atom.

The structure in CIF format:
```
data_TeINF2
_cell_length_a 4.392
_cell_length_b 4.392
_cell_length_c 4.522
_cell_angle_alpha 90.00
_cell_angle_beta 90.00
_cell_angle_gamma 90.00
_space_group_name_H-M_alt 'P 4/m m m'
_space_group_IT_number 123
_space_group_name_Hall '-P 4 2'
loop_
_atom_site_label
_atom_site_fract_x
_atom_site_fract_y
_atom_site_fract_z
Te1 0.000 0.000 0.000
I1 0.500 0.500 0.500
N1 0.000 0.000 0.500
F1 0.000 0.500 0.000
```